Entry 1:
12
Lattice="-2.677 -2.783 -2.333 -3.634 -3.002 7.750 -4.457 8.973 -1.225" Properties=species:S:1:pos:R:3 comment="La2PmNd3Te6 PBE relaxed" sg=C2/m pbc="T T T"
Te -5.376 3.824 1.608
Te -3.546 0.877 -1.339
Te -5.392 -0.636 2.584
Te -8.011 5.418 -1.632
Te -2.758 -2.230 5.824
Nd -3.155 -2.892 2.708
La -3.129 1.515 1.783
Te -7.222 2.311 5.531
Nd -5.791 3.150 -1.475
La -7.639 1.672 2.408
Pm -1.339 -1.391 -1.167
Nd -4.977 0.038 5.667


Entry 2:
16
Lattice="8.999 0.000 0.000 0.000 8.997 -0.005 -4.500 -4.493 6.365" Properties=species:S:1:pos:R:3 comment="LaPm3Nd4Te8 PBE relaxed" sg=R-3m pbc="T T T"
Te 0.000 0.018 3.192
Nd 4.500 0.000 0.000
Te 2.272 2.244 0.010
Te 2.228 2.260 6.350
Nd -2.250 -2.247 3.182
Te 0.000 4.485 3.198
Te 4.500 0.019 3.162
La 0.000 4.498 -0.003
Te 4.500 4.485 3.167
Pm 2.250 2.252 3.180
Nd 2.250 -2.247 3.182
Te -2.228 2.260 6.350
Pm -2.250 2.252 3.180
Nd 0.000 0.000 0.000
Te 6.728 2.244 0.010
Pm 4.500 4.498 -0.003


Entry 3:
12
Lattice="4.527 0.000 0.000 0.000 9.084 0.355 -2.264 -2.585 9.516" Properties=species:S:1:pos:R:3 comment="La3PmNd2Te6 PBE relaxed" sg=C2/m pbc="T T T"
La 0.000 6.703 3.481
Te 2.264 -0.078 3.164
Te 2.264 4.274 9.769
La 2.264 4.542 0.177
Nd 2.264 4.334 6.577
Te 0.000 6.577 6.707
La 2.264 -0.204 6.390
Pm 2.264 0.000 0.000
Te 0.000 2.226 0.102
Te 2.264 4.405 3.396
Te 0.000 2.094 6.475
Nd 0.000 2.165 3.294


Entry 4:
12
Lattice="4.483 0.000 0.000 0.000 9.022 0.329 -2.242 -2.592 9.443" Properties=species:S:1:pos:R:3 comment="LaPm3Nd2Te6 PBE relaxed" sg=C2/m pbc="T T T"
Nd 0.000 2.152 3.280
Te 0.000 6.560 6.558
Pm 0.000 6.644 3.410
La 2.242 0.000 0.000
Nd 2.242 4.278 6.491
Pm 2.242 -0.213 6.362
Te 2.242 4.132 9.682
Te 2.242 -0.130 3.214
Pm 2.242 4.511 0.164
Te 0.000 2.298 0.090
Te 2.242 4.414 3.322
Te 0.000 2.016 6.450


Entry 5:
16
Lattice="9.050 0.000 0.000 0.000 9.010 -0.023 -4.525 -4.512 6.396" Properties=species:S:1:pos:R:3 comment="La3Pm4NdTe8 PBE relaxed" sg=R-3m pbc="T T T"
Te 2.276 -2.289 6.360
La -2.263 2.249 3.187
Te 4.525 4.545 3.213
Te 4.525 -0.047 3.182
Te 6.801 6.787 0.014
Pm 2.263 -2.256 3.198
Te -2.276 -2.289 6.360
Pm 4.525 0.000 0.000
Nd 0.000 4.505 -0.011
Te 0.000 4.544 3.192
La 4.525 4.505 -0.011
Te 2.249 6.787 0.014
Te 0.000 -0.048 3.161
La 2.263 2.249 3.187
Pm 0.000 0.000 0.000
Pm -2.263 -2.256 3.198


Entry 6:
12
Lattice="4.522 0.000 0.000 0.000 9.073 0.351 -2.261 -2.585 9.506" Properties=species:S:1:pos:R:3 comment="La3Pm2NdTe6 PBE relaxed" sg=C2/m pbc="T T T"
La 2.261 -0.207 6.408
Pm 0.000 2.156 3.283
La 2.261 4.536 0.175
La 0.000 6.695 3.449
Te 0.000 6.554 6.671
Nd 2.261 0.000 0.000
Te 2.261 -0.066 3.185
Te 0.000 2.239 0.122
Pm 2.261 4.332 6.574
Te 0.000 2.108 6.453
Te 2.261 4.380 3.404
Te 2.261 4.249 9.735


Number 1: DFT total energy -65.52 eV for the cell shown, DOS(E_F) 7.02 states/eV/cell. Number 2: DFT total energy -86.34 eV for the cell shown, DOS(E_F) 12.70 states/eV/cell. Number 3: DFT total energy -66.05 eV for the cell shown, DOS(E_F) 7.40 states/eV/cell. Number 4: DFT total energy -64.91 eV for the cell shown, DOS(E_F) 6.61 states/eV/cell. Number 5: DFT total energy -87.35 eV for the cell shown, DOS(E_F) 13.02 states/eV/cell. Number 6: DFT total energy -66.00 eV for the cell shown, DOS(E_F) 7.42 states/eV/cell.